DFT (GGA-PBE) results for crystalline Pm3Ag4Hg4 at its relaxed geometry.

Summary:
volume: 259.5 Å³/f.u.
ΔE_f: -6.70 kcal/mol of atoms
DOS at the Fermi energy: 7.1 states/eV/cell
electronic total energy: -30.06 eV/cell

```
data_Pm3Ag4Hg4
_space_group_name_H-M_alt 'P -1'
_space_group_IT_number 2
_cell_length_a 3.445
_cell_length_b 4.910
_cell_length_c 15.632
_cell_angle_alpha 99.01
_cell_angle_beta 96.27
_cell_angle_gamma 90.08
loop_
_space_group_symop_operation_xyz
'x,y,z'
'-x,-y,-z'
loop_
_atom_site_label
_atom_site_fract_x
_atom_site_fract_y
_atom_site_fract_z
Pm1 0.000 0.000 0.000
Pm2 0.140 0.639 0.280
Ag1 0.264 0.265 0.528
Ag2 0.407 0.908 0.814
Hg1 0.314 0.814 0.628
Hg2 0.452 0.452 0.904
```

=====

DFT (GGA-PBE) results for crystalline KHfCd2Fe at its relaxed geometry.

Summary:
volume: 118.2 Å³/f.u.
ΔE_f: 42.92 kcal/mol of atoms
DOS at the Fermi energy: 8.7 states/eV/cell
electronic total energy: -12.04 eV/cell

```
data_KHfCd2Fe
_space_group_name_H-M_alt 'P 4/m m m'
_space_group_IT_number 123
_space_group_name_Hall '-P 4 2'
_cell_length_a 5.297
_cell_length_b 5.297
_cell_length_c 4.212
_cell_angle_alpha 90.00
_cell_angle_beta 90.00
_cell_angle_gamma 90.00
loop_
_atom_site_label
_atom_site_fract_x
_atom_site_fract_y
_atom_site_fract_z
K1 0.000 0.000 0.000
Hf1 0.500 0.500 0.500
Cd1 0.000 0.500 0.000
Fe1 0.000 0.000 0.500
```

=====

- electronic total energy of number 2 (KHfCd2Fe)?
  -12.04 eV/cell

=====

- Which of these has the lowest volume?
  KHfCd2Fe

=====

- Which formula does entry 1 have?
  Pm3Ag4Hg4